A plane-wave DFT calculation with PBE was carried out for crystalline Hf2MgH8 at its relaxed geometry.

Results
The calculation puts the density at 8.031 g cm⁻³. As for the total energy: -4.613 eV/atom.

a = 3.1342 Å, b = 5.3896 Å, c = 5.6946 Å
α = 118.24°, β = 105.97°, γ = 90.00°
With the nearest neighbours (Å) after each atom.
Fractional positions:
H: 0.0000 0.2722 0.0000  2 Hf 2.05, 2 Mg 2.15, 4 H 2.18
H: 0.6582 0.4117 0.3163  5 H 1.97-2.18, 1 Mg 2.03, 3 Hf 2.06-2.12
H: 0.3418 0.0953 0.6837  5 H 1.97-2.18, 1 Mg 2.03, 3 Hf 2.06-2.12
H: 0.8104 0.8104 0.6208  6 H 1.97-2.10, 2 Hf 2.05
H: 0.6582 0.9047 0.3163  5 H 1.97-2.18, 1 Mg 2.03, 3 Hf 2.06-2.12
Hf: 0.1718 0.6718 0.3436  10 H 2.05-2.12
Hf: 0.8282 0.3282 0.6564  10 H 2.05-2.12
H: 0.0000 0.7278 0.0000  2 Hf 2.05, 2 Mg 2.15, 4 H 2.18
H: 0.1896 0.1896 0.3792  6 H 1.97-2.10, 2 Hf 2.05
H: 0.3418 0.5883 0.6837  5 H 1.97-2.18, 1 Mg 2.03, 3 Hf 2.06-2.12
Mg: 0.5000 0.0000 0.0000  8 H 2.03-2.15



A plane-wave DFT calculation with PBE was carried out for crystalline Tl2NiBr at its relaxed geometry.

Results
The uncorrected formation energy is 51 kJ/mol of formula units. As for the energy above the lowest structure with this stoichiometry: 0.167 eV/atom. The calculation puts the density at 9.284 g cm⁻³.

a = 3.4781 Å, b = 3.4781 Å, c = 8.0929 Å
α = 90.00°, β = 90.00°, γ = 90.00°
With the nearest neighbours (Å) after each atom.
Fractional positions:
Tl: 0.0000 0.0000 0.9268  4 Ni 2.76, 1 Br 3.04
Tl: 0.5000 0.5000 0.2500  4 Br 3.47, 8 Tl 3.48-3.59, 1 Ni 3.87
Br: 0.0000 0.0000 0.5517  1 Tl 3.04, 4 Ni 3.04
Ni: 0.5000 0.5000 0.7716  4 Tl 2.76, 4 Br 3.04



A plane-wave DFT calculation with PBE was carried out for crystalline Sm2Be7Au12 at its relaxed geometry.

Results
The calculation puts the density at 13.212 g cm⁻³. As for the total energy: -3.880 eV/atom.

a = 4.0658 Å, b = 9.8669 Å, c = 9.8669 Å
α = 120.00°, β = 90.00°, γ = 90.00°
With the nearest neighbours (Å) after each atom.
Fractional positions:
Au: 0.2495 0.4570 0.3795  2 Be 2.39-2.41
Au: 0.7529 0.2590 0.1397  4 Be 2.41-2.54
Au: 0.2471 0.1193 0.2590  4 Be 2.41-2.54
Au: 0.2495 0.6205 0.0775  2 Be 2.39-2.41
Au: 0.2471 0.7410 0.8603  4 Be 2.41-2.54
Be: 0.2523 0.7137 0.6032  5 Au 2.39-2.54
Be: 0.7477 0.6032 0.8894  5 Au 2.39-2.54
Au: 0.7529 0.8807 0.7410  4 Be 2.41-2.54
Sm: 0.7523 0.6667 0.3333  6 Au 3.08-3.10, 6 Be 3.19
Au: 0.2471 0.1397 0.8807  4 Be 2.41-2.54
Au: 0.2495 0.9225 0.5430  2 Be 2.39-2.41
Be: 0.7477 0.2863 0.3968  5 Au 2.39-2.54
Be: 0.5000 0.0000 0.0000  6 Au 2.44
Be: 0.2523 0.3968 0.1106  5 Au 2.39-2.54
Au: 0.7505 0.0775 0.4570  2 Be 2.39-2.41
Be: 0.2523 0.8894 0.2863  5 Au 2.39-2.54
Au: 0.7505 0.3795 0.9225  2 Be 2.39-2.41
Sm: 0.2477 0.3333 0.6667  6 Au 3.08-3.10, 6 Be 3.19
Au: 0.7529 0.8603 0.1193  4 Be 2.41-2.54
Be: 0.7477 0.1106 0.7137  5 Au 2.39-2.54
Au: 0.7505 0.5430 0.6205  2 Be 2.39-2.41



A plane-wave DFT calculation with PBE was carried out for crystalline Sr2NpTc2N6 at its relaxed geometry.

Results
The uncorrected formation energy is -614 kJ/mol of formula units. The calculation puts the density at 6.245 g cm⁻³.

a = 6.0859 Å, b = 6.0859 Å, c = 6.7287 Å
α = 63.11°, β = 63.11°, γ = 60.00°
With the nearest neighbours (Å) after each atom.
Fractional positions:
N: 0.7608 0.7608 0.2343  1 Tc 1.85
N: 0.2392 0.7558 0.7657  1 Tc 1.85
N: 0.2392 0.2392 0.7657  1 Tc 1.85
Tc: 0.5673 0.5673 0.2981  3 N 1.85
N: 0.7558 0.2392 0.7657  1 Tc 1.85
Sr: 0.2143 0.2143 0.3570  9 N 2.90-3.12
Tc: 0.4327 0.4327 0.7019  3 N 1.85
N: 0.7608 0.2442 0.2343  1 Tc 1.85
N: 0.2442 0.7608 0.2343  1 Tc 1.85
Sr: 0.7857 0.7857 0.6430  9 N 2.90-3.12
Np: 0.0000 0.0000 0.0000  6 N 2.17



Which formula does entry 2 have? Tl2NiBr